1.
# Er2Al2SnRh5 | Alexandria via LeMat-Bulk | GGA-PBE | relaxed
data_Er2Al2SnRh5
_chemical_formula_sum 'Er4 Al4 Sn2 Rh10'
_space_group_name_H-M_alt 'P 1'
_space_group_IT_number 1
_cell_length_a 3.525
_cell_length_b 9.857
_cell_length_c 9.857
_cell_angle_alpha 90.00
_cell_angle_beta 90.00
_cell_angle_gamma 90.00
loop_
_space_group_symop_operation_xyz
'x,y,z'
loop_
_atom_site_label
_atom_site_type_symbol
_atom_site_fract_x
_atom_site_fract_y
_atom_site_fract_z
Rh1 Rh 0.500 0.709 0.431
Rh2 Rh 0.500 0.431 0.291
Rh3 Rh 0.500 0.069 0.791
Rh4 Rh 0.500 0.569 0.709
Rh5 Rh 0.500 0.291 0.569
Rh6 Rh 0.500 0.000 0.500
Rh7 Rh 0.500 0.500 0.000
Rh8 Rh 0.500 0.931 0.209
Rh9 Rh 0.500 0.791 0.931
Rh10 Rh 0.500 0.209 0.069
Er1 Er 0.000 0.175 0.325
Er2 Er 0.000 0.675 0.175
Er3 Er 0.000 0.825 0.675
Er4 Er 0.000 0.325 0.825
Al1 Al 0.000 0.122 0.622
Al2 Al 0.000 0.622 0.878
Al3 Al 0.000 0.378 0.122
Al4 Al 0.000 0.878 0.378
Sn1 Sn 0.000 0.000 0.000
Sn2 Sn 0.000 0.500 0.500
# D(E_F): 5.69 states/eV/cell
# Energy of formation from the pure elements: -0.90 eV per atom



2.
# Er2TiAl2Rh5 | Alexandria via LeMat-Bulk | GGA-PBE | relaxed
data_Er2TiAl2Rh5
_chemical_formula_sum 'Er4 Ti2 Al4 Rh10'
_space_group_name_H-M_alt 'P 1'
_space_group_IT_number 1
_cell_length_a 3.383
_cell_length_b 9.929
_cell_length_c 9.929
_cell_angle_alpha 90.00
_cell_angle_beta 90.00
_cell_angle_gamma 90.00
loop_
_space_group_symop_operation_xyz
'x,y,z'
loop_
_atom_site_label
_atom_site_type_symbol
_atom_site_fract_x
_atom_site_fract_y
_atom_site_fract_z
Rh1 Rh 0.500 0.202 0.066
Rh2 Rh 0.500 0.500 0.000
Rh3 Rh 0.500 0.298 0.566
Rh4 Rh 0.500 0.000 0.500
Rh5 Rh 0.500 0.702 0.434
Rh6 Rh 0.500 0.798 0.934
Rh7 Rh 0.500 0.434 0.298
Rh8 Rh 0.500 0.934 0.202
Rh9 Rh 0.500 0.566 0.702
Rh10 Rh 0.500 0.066 0.798
Er1 Er 0.000 0.327 0.827
Er2 Er 0.000 0.673 0.173
Er3 Er 0.000 0.173 0.327
Er4 Er 0.000 0.827 0.673
Al1 Al 0.000 0.374 0.126
Al2 Al 0.000 0.126 0.626
Al3 Al 0.000 0.874 0.374
Al4 Al 0.000 0.626 0.874
Ti1 Ti 0.000 0.500 0.500
Ti2 Ti 0.000 0.000 0.000
# D(E_F): 5.79 states/eV/cell
# Energy of formation from the pure elements: -0.89 eV per atom



3.
# ErAlZnRh | Alexandria via LeMat-Bulk | GGA-PBE | relaxed
data_ErAlZnRh
_chemical_formula_sum 'Er1 Al1 Zn1 Rh1'
_space_group_name_H-M_alt 'P 1'
_space_group_IT_number 1
_cell_length_a 4.613
_cell_length_b 4.613
_cell_length_c 4.613
_cell_angle_alpha 60.00
_cell_angle_beta 60.00
_cell_angle_gamma 60.00
loop_
_space_group_symop_operation_xyz
'x,y,z'
loop_
_atom_site_label
_atom_site_type_symbol
_atom_site_fract_x
_atom_site_fract_y
_atom_site_fract_z
Zn1 Zn 0.000 0.000 0.000
Al1 Al 0.250 0.250 0.250
Rh1 Rh 0.500 0.500 0.500
Er1 Er 0.750 0.750 0.750
# D(E_F): 2.92 states/eV/cell
# Energy of formation from the pure elements: -0.57 eV per atom



4.
# Er3AlRu3 | Alexandria via LeMat-Bulk | GGA-PBE | relaxed
data_Er3AlRu3
_chemical_formula_sum 'Er6 Al2 Ru6'
_space_group_name_H-M_alt 'P 1'
_space_group_IT_number 1
_cell_length_a 4.106
_cell_length_b 5.564
_cell_length_c 13.374
_cell_angle_alpha 90.00
_cell_angle_beta 90.00
_cell_angle_gamma 111.65
loop_
_space_group_symop_operation_xyz
'x,y,z'
loop_
_atom_site_label
_atom_site_type_symbol
_atom_site_fract_x
_atom_site_fract_y
_atom_site_fract_z
Er1 Er 0.201 0.401 0.894
Er2 Er 0.514 0.028 0.250
Er3 Er 0.799 0.599 0.394
Er4 Er 0.201 0.401 0.606
Er5 Er 0.486 0.972 0.750
Er6 Er 0.799 0.599 0.106
Ru1 Ru 0.087 0.175 0.407
Ru2 Ru 0.225 0.449 0.250
Ru3 Ru 0.913 0.825 0.907
Ru4 Ru 0.087 0.175 0.093
Ru5 Ru 0.913 0.825 0.593
Ru6 Ru 0.775 0.551 0.750
Al1 Al 0.500 0.000 0.000
Al2 Al 0.500 0.000 0.500
# D(E_F): 9.50 states/eV/cell
# Energy of formation from the pure elements: -0.49 eV per atom



Question: The lowest energy of formation from the pure elements belongs to which entry?
Answer: Er2Al2SnRh5



Question: Number 2 is which compound?
Answer: Er2TiAl2Rh5



Question: Which formula does entry 1 have?
Answer: Er2Al2SnRh5



Question: Among the records above, which one has the highest D(E_F)?
Answer: Er3AlRu3